Computed, not measured: a relaxed structure of Hf2NbB at the GGA-PBE level of DFT.

extended XYZ file:
```
4
Lattice="0.0000 3.2180 3.2180 3.2180 0.0000 3.2180 3.2180 3.2180 0.0000" Properties=species:S:1:pos:R:3 pbc="T T T"
Hf 0.0000 0.0000 0.0000
Hf 1.6090 1.6090 1.6090
Nb 4.8269 4.8269 4.8269
B 3.2180 3.2180 3.2180
```

**DFT total energy**: -8.5976 eV per atom
**SG**: F-43m (216)